This record from Alexandria via LeMat-Bulk describes a relaxed structure of LiTmIn. The functional is PBE-GGA.

Geometry as CIF:
```
data_LiTmIn
_space_group_name_H-M_alt 'P 1'
_space_group_IT_number 1
_cell_length_a 3.565
_cell_length_b 3.565
_cell_length_c 11.012
_cell_angle_alpha 90.00
_cell_angle_beta 90.00
_cell_angle_gamma 90.00
loop_
_space_group_symop_operation_xyz
'x,y,z'
loop_
_atom_site_label
_atom_site_type_symbol
_atom_site_fract_x
_atom_site_fract_y
_atom_site_fract_z
Li1 Li 0.000 0.000 0.000
Li2 Li 0.500 0.500 0.500
Tm1 Tm 0.000 0.000 0.308
Tm2 Tm 0.500 0.500 0.808
In1 In 0.000 0.000 0.622
In2 In 0.500 0.500 0.122
```

Values from the calculation:
- M_tot (μB per atom) = 0.000
- formation energy (eV/atom) = -0.184
- energy (eV per atom) = -3.2253
- calculated density (g/cm³) = 6.9
- space group = No. 107
- D(E_F) (states/eV per cell) = 6.2